## Ti3TeMo (PBE)

Data for Ti3TeMo after structural relaxation.

Lattice parameters (Å, degrees): 4.7705 4.7705 4.7705 90.00 90.00 90.00
Each line ends with the local moment (μB).
Element x y z (fractional)
Te1 0.5000 0.5000 0.5000  -0.02
Ti1 0.0000 0.0000 0.5000  0.17
Ti2 0.0000 0.5000 0.0000  0.21
Ti3 0.5000 0.0000 0.0000  0.40
Mo1 0.0000 0.0000 0.0000  -0.06

Computed properties:
The value obtained for the formation energy without anion corrections is 0.575 eV per atom. As for the excess energy over the best structure of this formula in the dataset: 0.0 meV per atom. The space-group type is Pm-3m. The calculation puts the density of states at the Fermi level at 7.5 states/eV per cell.



## TiTe2Mo (PBE)

Data for TiTe2Mo after structural relaxation.

Lattice parameters (Å, degrees): 3.3596 3.3596 9.5205 79.84 79.84 60.00
Each line ends with the local moment (μB).
Element x y z (fractional)
Te1 0.0976 0.0976 0.7071  0.00
Te2 0.9024 0.9024 0.2929  0.00
Mo1 0.5000 0.5000 0.5000  -0.01
Ti1 0.0000 0.0000 0.0000  0.48

Computed properties:
The value obtained for the formation energy without anion corrections is 0.228 eV per atom. As for the excess energy over the best structure of this formula in the dataset: 248.9 meV per atom. The space-group type is R-3m. The calculation puts the density of states at the Fermi level at 4.3 states/eV per cell.



## Ti2TeMo (PBE)

Data for Ti2TeMo after structural relaxation.

Lattice parameters (Å, degrees): 4.0420 4.0420 9.8336 78.14 78.14 90.00
Element x y z (fractional)
Ti1 0.6259 0.1250 0.2500
Ti2 0.8750 0.8759 0.7500
Ti3 0.3750 0.3741 0.7500
Ti4 0.1241 0.6250 0.2500
Te1 0.7500 0.2500 0.5000
Te2 0.0000 0.0000 0.0000
Mo1 0.2500 0.7500 0.5000
Mo2 0.5000 0.5000 0.0000

Computed properties:
The value obtained for the formation energy without anion corrections is 0.383 eV per atom. The space-group type is I-42d. The calculation puts the density of states at the Fermi level at 10.1 states/eV per cell.



## Ti2Te6Mo (PBE)

Data for Ti2Te6Mo after structural relaxation.

Lattice parameters (Å, degrees): 6.8426 7.0375 9.2596 90.00 85.58 90.00
Each line ends with the local moment (μB).
Element x y z (fractional)
Te1 0.6447 0.1724 0.5704  0.00
Te2 0.1624 0.3439 0.4211  0.00
Te3 0.1447 0.3276 0.0704  0.00
Te4 0.8377 0.9926 0.2418  0.00
Te5 0.6624 0.1561 0.9211  0.00
Te6 0.1623 0.0074 0.7582  0.00
Te7 0.3553 0.8276 0.4296  0.00
Te8 0.6623 0.4926 0.2582  0.00
Te9 0.8553 0.6724 0.9296  0.00
Te10 0.3376 0.8439 0.0789  0.00
Te11 0.8376 0.6561 0.5789  0.00
Te12 0.3377 0.5074 0.7418  0.00
Mo1 0.5000 0.5000 0.0000  0.43
Mo2 0.0000 0.0000 0.5000  0.43
Ti1 0.4609 0.1562 0.2526  0.02
Ti2 0.5391 0.8438 0.7474  0.02
Ti3 0.0391 0.6562 0.2474  0.02
Ti4 0.9609 0.3438 0.7526  0.02

Computed properties:
The value obtained for the formation energy without anion corrections is -0.308 eV per atom. As for the excess energy over the best structure of this formula in the dataset: 174.7 meV per atom. The space-group type is P2_1/c. The calculation puts the density of states at the Fermi level at 13.2 states/eV per cell.



Which formula does entry 4 have? Ti2Te6Mo



What did the second record say?
## TiTe2Mo (PBE)

Data for TiTe2Mo after structural relaxation.

Lattice parameters (Å, degrees): 3.3596 3.3596 9.5205 79.84 79.84 60.00
Each line ends with the local moment (μB).
Element x y z (fractional)
Te1 0.0976 0.0976 0.7071  0.00
Te2 0.9024 0.9024 0.2929  0.00
Mo1 0.5000 0.5000 0.5000  -0.01
Ti1 0.0000 0.0000 0.0000  0.48

Computed properties:
The value obtained for the formation energy without anion corrections is 0.228 eV per atom. As for the excess energy over the best structure of this formula in the dataset: 248.9 meV per atom. The space-group type is R-3m. The calculation puts the density of states at the Fermi level at 4.3 states/eV per cell.